[1]
# Y4CuRu

A relaxed Y4CuRu crystal (PBE, Alexandria via LeMat-Bulk).

It has space group P2_1/c (No. 14), with a = 6.893 Å, b = 6.869 Å, c = 6.875 Å, α = 90.00°, β = 92.21° and γ = 90.00°. The distinct sites, in fractional coordinates, are Y at (0.155, 0.160, 0.173), Y at (0.332, 0.660, 0.150), Cu at (0.500, 0.000, 0.000) and Ru at (0.000, 0.000, 0.500).

The formation energy is -0.9 eV/f.u. The value obtained for the excess energy over the best structure of this formula in the dataset is 80 meV per atom. For the density of states at the Fermi level, the calculation gives 11.331 states/eV per cell.

[2]
# AgS

A relaxed AgS crystal (PBE, Alexandria via LeMat-Bulk).

It has space group P6_3/m (No. 176), with a = 9.6615 Å, b = 9.6615 Å, c = 4.1658 Å, α = 90.00°, β = 90.00° and γ = 120.00°. The distinct sites, in fractional coordinates, are Ag at (0.0632, 0.6517, 0.2500) and S at (0.0928, 0.4026, 0.2500).

For the density of states at the Fermi level, the calculation gives 13.106 states/eV per cell. The formation energy (no corrections) is 0.461 eV/f.u.

[3]
# TbTm2GaAu4

A relaxed TbTm2GaAu4 crystal (PBE, Alexandria via LeMat-Bulk).

It has space group R-3m (No. 166, hexagonal axes), with a = 4.9396 Å, b = 4.9396 Å, c = 24.6573 Å, α = 90.00°, β = 90.00° and γ = 120.00°. The distinct sites, in fractional coordinates, are Tb at (0.0000, 0.0000, 0.0000), Tm at (0.0000, 0.0000, 0.2412), Ga at (0.0000, 0.0000, 0.5000), Au at (0.0000, 0.0000, 0.1205) and Au at (0.0000, 0.0000, 0.3697).

The formation energy is -6.1 eV/f.u. For the density of states at the Fermi level, the calculation gives 14.318 states/eV per cell.

[4]
# SrZr3As

A relaxed SrZr3As crystal (PBE, Alexandria via LeMat-Bulk).

It has space group Pm-3m (No. 221), with a = 5.125 Å, b = 5.125 Å, c = 5.125 Å, α = 90.00°, β = 90.00° and γ = 90.00°. The distinct sites, in fractional coordinates, are Sr at (0.000, 0.000, 0.000), Zr at (0.000, 0.000, 0.500) and As at (0.500, 0.500, 0.500).

The formation energy is 9.2 eV/f.u. The value obtained for the excess energy over the best structure of this formula in the dataset is 1823 meV per atom. For the density of states at the Fermi level, the calculation gives 6.074 states/eV per cell.

[5]
# LaTlAs2O8

A relaxed LaTlAs2O8 crystal (PBE, Alexandria via LeMat-Bulk).

It has space group I-4m2 (No. 119), with a = 7.436 Å, b = 7.436 Å, c = 6.445 Å, α = 90.00°, β = 90.00° and γ = 90.00°. The distinct sites, in fractional coordinates, are La at (0.000, 0.000, 0.000), Tl at (0.000, 0.500, 0.750), As at (0.000, 0.000, 0.500), As at (0.000, 0.500, 0.250), O at (0.000, 0.178, 0.672) and O at (0.000, 0.326, 0.073).

The formation energy (no corrections) is -19.649 eV/f.u.

[6]
# Al4CdAg

A relaxed Al4CdAg crystal (PBE, Alexandria via LeMat-Bulk).

It has space group F-43m (No. 216), with a = 7.683 Å, b = 7.683 Å, c = 7.683 Å, α = 90.00°, β = 90.00° and γ = 90.00°. The distinct sites, in fractional coordinates, are Al at (0.125, 0.125, 0.125), Cd at (0.250, 0.250, 0.750) and Ag at (0.000, 0.000, 0.500).

The formation energy is 1.2 eV/f.u. For the density of states at the Fermi level, the calculation gives 14.975 states/eV per cell.

[7]
# Zn2FeRh5

A relaxed Zn2FeRh5 crystal (PBE, Alexandria via LeMat-Bulk).

It has space group I4/mmm (No. 139), with a = 3.907 Å, b = 3.907 Å, c = 14.506 Å, α = 90.00°, β = 90.00° and γ = 90.00°. The distinct sites, in fractional coordinates, are Zn at (0.000, 0.000, 0.249), Fe at (0.000, 0.000, 0.000), Rh at (0.000, 0.000, 0.500) and Rh at (0.000, 0.500, 0.125).

The formation energy is -1.5 eV/f.u. For the density of states at the Fermi level, the calculation gives 14.174 states/eV per cell.

[8]
# GdTmZnPd

A relaxed GdTmZnPd crystal (PBE, Alexandria via LeMat-Bulk).

It has space group F-43m (No. 216), with a = 7.067 Å, b = 7.067 Å, c = 7.067 Å, α = 90.00°, β = 90.00° and γ = 90.00°. The distinct sites, in fractional coordinates, are Gd at (0.000, 0.000, 0.000), Tm at (0.000, 0.000, 0.500), Zn at (0.250, 0.250, 0.750) and Pd at (0.250, 0.250, 0.250).

The formation energy is -2.4 eV/f.u. For the density of states at the Fermi level, the calculation gives 10.542 states/eV per cell.

[9]
# Sr2CrOs

A relaxed Sr2CrOs crystal (PBE, Alexandria via LeMat-Bulk).

It has space group Pmm2 (No. 25), with a = 3.389 Å, b = 3.409 Å, c = 9.221 Å, α = 90.00°, β = 90.00° and γ = 90.00°. The distinct sites, in fractional coordinates, are Sr at (0.000, 0.000, 0.000), Sr at (0.500, 0.500, 0.399), Cr at (0.000, 0.000, 0.672) and Os at (0.500, 0.500, 0.732).

The formation energy is 2.2 eV/f.u. The value obtained for the excess energy over the best structure of this formula in the dataset is 269 meV per atom. For the density of states at the Fermi level, the calculation gives 4.711 states/eV per cell.

[10]
# LaRe2Ni

A relaxed LaRe2Ni crystal (PBE, Alexandria via LeMat-Bulk).

It has space group Cmmm (No. 65), with a = 5.322 Å, b = 9.730 Å, c = 2.724 Å, α = 90.00°, β = 90.00° and γ = 90.00°. The distinct sites, in fractional coordinates, are La at (0.000, 0.000, 0.000), Re at (0.250, 0.250, 0.500) and Ni at (0.000, 0.500, 0.000).

The formation energy is 3.1 eV/f.u. The value obtained for the excess energy over the best structure of this formula in the dataset is 672 meV per atom. For the density of states at the Fermi level, the calculation gives 6.593 states/eV per cell.

[11]
# Np2NiPdS5

A relaxed Np2NiPdS5 crystal (PBE, Alexandria via LeMat-Bulk).

It has space group Cmc2_1 (No. 36), with a = 3.759 Å, b = 16.796 Å, c = 10.145 Å, α = 90.00°, β = 90.00° and γ = 90.00°. The distinct sites, in fractional coordinates, are Np at (0.000, 0.096, 0.000), Np at (0.000, 0.133, 0.398), Ni at (0.000, 0.416, 0.217), Pd at (0.000, 0.201, 0.694), S at (0.000, 0.015, 0.771), S at (0.000, 0.277, 0.040), S at (0.000, 0.313, 0.364), S at (0.000, 0.359, 0.704) and S at (0.000, 0.469, 0.013).

For the density of states at the Fermi level, the calculation gives 64.945 states/eV per cell. The formation energy (no corrections) is -8.155 eV/f.u.

[12]
# Sr2RuSe

A relaxed Sr2RuSe crystal (PBE, Alexandria via LeMat-Bulk).

It has space group Pmmm (No. 47), with a = 3.758 Å, b = 3.774 Å, c = 7.490 Å, α = 90.00°, β = 90.00° and γ = 90.00°. The distinct sites, in fractional coordinates, are Sr at (0.000, 0.000, 0.243), Ru at (0.500, 0.500, 0.500) and Se at (0.500, 0.500, 0.000).

For the density of states at the Fermi level, the calculation gives 4.450 states/eV per cell. The formation energy (no corrections) is -1.526 eV/f.u.

[13]
# NiAg2Br

A relaxed NiAg2Br crystal (PBE, Alexandria via LeMat-Bulk).

It has space group C2/m (No. 12), with a = 6.813 Å, b = 3.452 Å, c = 7.015 Å, α = 90.00°, β = 103.15° and γ = 90.00°. The distinct sites, in fractional coordinates, are Ni at (0.000, 0.000, 0.000), Ag at (0.239, 0.500, 0.210) and Br at (0.000, 0.500, 0.500).

The value obtained for the excess energy over the best structure of this formula in the dataset is 183 meV per atom. For the density of states at the Fermi level, the calculation gives 5.875 states/eV per cell. The formation energy (no corrections) is 1.381 eV/f.u.

[14]
# PaAlCo2

A relaxed PaAlCo2 crystal (PBE, Alexandria via LeMat-Bulk).

It has space group P4/mmm (No. 123), with a = 2.934 Å, b = 2.934 Å, c = 6.782 Å, α = 90.00°, β = 90.00° and γ = 90.00°. The distinct sites, in fractional coordinates, are Pa at (0.000, 0.000, 0.000), Al at (0.000, 0.000, 0.500) and Co at (0.500, 0.500, 0.294).

The formation energy is -1.4 eV/f.u. For the density of states at the Fermi level, the calculation gives 3.124 states/eV per cell.

[15]
# NbH3Br

A relaxed NbH3Br crystal (PBE, Alexandria via LeMat-Bulk).

It has space group Pm-3m (No. 221), with a = 3.701 Å, b = 3.701 Å, c = 3.701 Å, α = 90.00°, β = 90.00° and γ = 90.00°. The distinct sites, in fractional coordinates, are Nb at (0.000, 0.000, 0.000), H at (0.000, 0.500, 0.500) and Br at (0.500, 0.500, 0.500).

The value obtained for the excess energy over the best structure of this formula in the dataset is 1154 meV per atom. For the density of states at the Fermi level, the calculation gives 4.237 states/eV per cell.

[16]
# Pm2Sm5Er3

A relaxed Pm2Sm5Er3 crystal (PBE, Alexandria via LeMat-Bulk).

It has space group Ibam (No. 72), with a = 9.405 Å, b = 21.845 Å, c = 6.843 Å, α = 90.00°, β = 90.00° and γ = 90.00°. The distinct sites, in fractional coordinates, are Pm at (0.099, 0.123, 0.000), Sm at (0.000, 0.248, 0.250), Sm at (0.000, 0.500, 0.250), Sm at (0.094, 0.374, 0.500), Er at (0.000, 0.000, 0.250) and Er at (0.248, 0.121, 0.500).

The formation energy is 3.8 eV/f.u. The value obtained for the excess energy over the best structure of this formula in the dataset is 192 meV per atom. For the density of states at the Fermi level, the calculation gives 57.061 states/eV per cell.

[17]
# InAg2

A relaxed InAg2 crystal (PBE, Alexandria via LeMat-Bulk).

It has space group Fd-3m (No. 227, origin choice 2), with a = 7.931 Å, b = 7.931 Å, c = 7.931 Å, α = 90.00°, β = 90.00° and γ = 90.00°. The distinct sites, in fractional coordinates, are In at (0.125, 0.125, 0.125) and Ag at (0.000, 0.000, 0.500).

The formation energy is 0.1 eV/f.u. For the density of states at the Fermi level, the calculation gives 12.073 states/eV per cell.

[18]
# PrDy12Sc5

A relaxed PrDy12Sc5 crystal (PBE, Alexandria via LeMat-Bulk).

It has space group C2/m (No. 12), with a = 6.041 Å, b = 10.467 Å, c = 16.975 Å, α = 90.00°, β = 96.81° and γ = 90.00°. The distinct sites, in fractional coordinates, are Pr at (0.000, 0.000, 0.000), Dy at (0.112, 0.000, 0.339), Dy at (0.113, 0.333, 0.339), Dy at (0.218, 0.500, 0.167), Dy at (0.224, 0.169, 0.167), Sc at (0.000, 0.166, 0.500), Sc at (0.000, 0.333, 0.000) and Sc at (0.000, 0.500, 0.500).

The formation energy is 0.7 eV/f.u. For the density of states at the Fermi level, the calculation gives 49.230 states/eV per cell.

[19]
# MgNiHgAs2

A relaxed MgNiHgAs2 crystal (PBE, Alexandria via LeMat-Bulk).

It has space group P4/mmm (No. 123), with a = 4.917 Å, b = 4.917 Å, c = 4.706 Å, α = 90.00°, β = 90.00° and γ = 90.00°. The distinct sites, in fractional coordinates, are Mg at (0.000, 0.000, 0.000), Ni at (0.000, 0.000, 0.500), Hg at (0.500, 0.500, 0.500) and As at (0.000, 0.500, 0.000).

The formation energy is 4.0 eV/f.u. The value obtained for the excess energy over the best structure of this formula in the dataset is 0 meV per atom. For the density of states at the Fermi level, the calculation gives 5.342 states/eV per cell.

[20]
# LaScCd

A relaxed LaScCd crystal (PBE, Alexandria via LeMat-Bulk).

It has space group P-1 (No. 2), with a = 5.223 Å, b = 6.341 Å, c = 6.485 Å, α = 97.90°, β = 113.72° and γ = 114.18°. The distinct sites, in fractional coordinates, are La at (0.088, 0.255, 0.423), Sc at (0.255, 0.798, 0.210) and Cd at (0.413, 0.273, 0.057).

The formation energy is -0.4 eV/f.u. The value obtained for the excess energy over the best structure of this formula in the dataset is 38 meV per atom. For the density of states at the Fermi level, the calculation gives 8.857 states/eV per cell.